1 | ## K2H5Pt (GGA-PBE)

Data for K2H5Pt after structural relaxation.

Calculated values
The magnetic moment comes out at 0.12 μB per atom.

Structure (CIF):
```
data_K2H5Pt
_cell_length_a 5.7748
_cell_length_b 5.7748
_cell_length_c 7.9106
_cell_angle_alpha 90.00
_cell_angle_beta 90.00
_cell_angle_gamma 90.00
_space_group_name_H-M_alt 'I 4 m m'
_space_group_IT_number 107
_space_group_name_Hall 'I 4 -2'
loop_
_atom_site_label
_atom_site_fract_x
_atom_site_fract_y
_atom_site_fract_z
_atom_site_occupancy
K1 0.0000 0.5000 0.0000 1
H1 0.0000 0.0000 0.0343 1
H2 0.2034 0.2034 0.2510 1
Pt1 0.0000 0.0000 0.2437 1
```

---

2 | ## K2H5Pt (GGA-PBE)

Data for K2H5Pt after structural relaxation.

Calculated values
The magnetic moment comes out at 0.00 μB per atom.

Structure (CIF):
```
data_K2H5Pt
_cell_length_a 5.6715
_cell_length_b 5.6715
_cell_length_c 3.8553
_cell_angle_alpha 90.00
_cell_angle_beta 90.00
_cell_angle_gamma 90.00
_space_group_name_H-M_alt 'P 4/m m m'
_space_group_IT_number 123
_space_group_name_Hall '-P 4 2'
loop_
_atom_site_label
_atom_site_fract_x
_atom_site_fract_y
_atom_site_fract_z
_atom_site_occupancy
K1 0.0000 0.5000 0.0000 1
H1 0.0000 0.0000 0.0000 1
H2 0.2078 0.2078 0.5000 1
Pt1 0.0000 0.0000 0.5000 1
```

---

Energies, relative to the best one, in kJ/mol of atoms: 1 8.2; 2 0.0.

---

1 | ## KHPt3 (GGA-PBE)

Data for KHPt3 after structural relaxation.

Calculated values
The magnetic moment comes out at 0.36 μB per atom.

Structure (CIF):
```
data_KHPt3
_cell_length_a 5.1432
_cell_length_b 5.1432
_cell_length_c 5.1432
_cell_angle_alpha 90.00
_cell_angle_beta 90.00
_cell_angle_gamma 90.00
_space_group_name_H-M_alt 'P m -3 m'
_space_group_IT_number 221
_space_group_name_Hall '-P 4 2 3'
loop_
_atom_site_label
_atom_site_fract_x
_atom_site_fract_y
_atom_site_fract_z
_atom_site_occupancy
K1 0.0000 0.0000 0.0000 1
H1 0.5000 0.5000 0.5000 1
Pt1 0.0000 0.0000 0.5000 1
```

---

2 | ## KHPt3 (GGA-PBE)

Data for KHPt3 after structural relaxation.

Calculated values
The magnetic moment comes out at 0.00 μB per atom.

Structure (CIF):
```
data_KHPt3
_cell_length_a 4.2157
_cell_length_b 4.2157
_cell_length_c 4.2157
_cell_angle_alpha 90.00
_cell_angle_beta 90.00
_cell_angle_gamma 90.00
_space_group_name_H-M_alt 'P m -3 m'
_space_group_IT_number 221
_space_group_name_Hall '-P 4 2 3'
loop_
_atom_site_label
_atom_site_fract_x
_atom_site_fract_y
_atom_site_fract_z
_atom_site_occupancy
K1 0.0000 0.0000 0.0000 1
H1 0.5000 0.5000 0.5000 1
Pt1 0.0000 0.5000 0.5000 1
```

---

Energies, relative to the best one, in kJ/mol of atoms: 1 223.1; 2 0.0.

---

1 | ## KRbH (GGA-PBE)

Data for KRbH after structural relaxation.

Calculated values
The magnetic moment comes out at 0.00 μB per atom.

Structure (CIF):
```
data_KRbH
_cell_length_a 4.2758
_cell_length_b 4.2781
_cell_length_c 7.9246
_cell_angle_alpha 75.38
_cell_angle_beta 75.14
_cell_angle_gamma 60.17
_space_group_name_H-M_alt 'P 1'
_space_group_IT_number 1
loop_
_space_group_symop_operation_xyz
'x,y,z'
loop_
_atom_site_label
_atom_site_fract_x
_atom_site_fract_y
_atom_site_fract_z
_atom_site_occupancy
K1 0.0000 0.0000 0.0000 1
Rb1 0.5224 0.5315 0.4478 1
H1 0.2650 0.2698 0.2115 1
```

---

2 | ## KRbH (GGA-PBE)

Data for KRbH after structural relaxation.

Calculated values
The magnetic moment comes out at 0.00 μB per atom.

Structure (CIF):
```
data_KRbH
_cell_length_a 5.1600
_cell_length_b 5.1600
_cell_length_c 10.1778
_cell_angle_alpha 90.00
_cell_angle_beta 90.00
_cell_angle_gamma 90.00
_space_group_name_H-M_alt 'P 4/m m m'
_space_group_IT_number 123
_space_group_name_Hall '-P 4 2'
loop_
_atom_site_label
_atom_site_fract_x
_atom_site_fract_y
_atom_site_fract_z
_atom_site_occupancy
K1 0.0000 0.0000 0.0000 1
K2 0.0000 0.0000 0.5000 1
Rb1 0.5000 0.5000 0.1837 1
H1 0.0000 0.5000 0.0000 1
```

---

3 | ## KRbH (GGA-PBE)

Data for KRbH after structural relaxation.

Calculated values
The magnetic moment comes out at 0.00 μB per atom.

Structure (CIF):
```
data_KRbH
_cell_length_a 3.8078
_cell_length_b 3.8078
_cell_length_c 15.3323
_cell_angle_alpha 90.00
_cell_angle_beta 90.00
_cell_angle_gamma 90.00
_space_group_name_H-M_alt 'I 4 m m'
_space_group_IT_number 107
_space_group_name_Hall 'I 4 -2'
loop_
_atom_site_label
_atom_site_fract_x
_atom_site_fract_y
_atom_site_fract_z
_atom_site_occupancy
K1 0.0000 0.0000 0.0000 1
Rb1 0.0000 0.0000 0.2293 1
H1 0.0000 0.0000 0.6160 1
```

---

4 | ## KRbH (GGA-PBE)

Data for KRbH after structural relaxation.

Calculated values
The magnetic moment comes out at 0.06 μB per atom.

Structure (CIF):
```
data_KRbH
_cell_length_a 15.4336
_cell_length_b 4.5636
_cell_length_c 11.6007
_cell_angle_alpha 90.00
_cell_angle_beta 128.84
_cell_angle_gamma 90.00
_space_group_name_H-M_alt 'C 1 2/m 1'
_space_group_IT_number 12
loop_
_space_group_symop_operation_xyz
'x,y,z'
'-x,-y,-z'
'-x,y,-z'
'x,-y,z'
'x+1/2,y+1/2,z'
'-x+1/2,-y+1/2,-z'
'-x+1/2,y+1/2,-z'
'x+1/2,-y+1/2,z'
loop_
_atom_site_label
_atom_site_fract_x
_atom_site_fract_y
_atom_site_fract_z
_atom_site_occupancy
K1 0.1992 0.0000 0.1232 1
Rb1 0.1042 0.5000 0.3692 1
H1 0.1946 0.0000 0.3389 1
```

---

Energies, relative to the best one, in kJ/mol of atoms: 1 1.0; 2 0.0; 3 8.6; 4 3.9.

---

1 | ## KRbH (GGA-PBE)

Data for KRbH after structural relaxation.

Calculated values
The magnetic moment comes out at 0.00 μB per atom.

Structure (CIF):
```
data_KRbH
_cell_length_a 7.5277
_cell_length_b 4.2940
_cell_length_c 15.2874
_cell_angle_alpha 90.00
_cell_angle_beta 98.95
_cell_angle_gamma 90.00
_space_group_name_H-M_alt 'C 1 m 1'
_space_group_IT_number 8
loop_
_space_group_symop_operation_xyz
'x,y,z'
'x,-y,z'
'x+1/2,y+1/2,z'
'x+1/2,-y+1/2,z'
loop_
_atom_site_label
_atom_site_fract_x
_atom_site_fract_y
_atom_site_fract_z
_atom_site_occupancy
K1 0.0000 0.0000 0.0000 1
K2 0.1940 0.0000 0.5544 1
Rb1 0.0971 0.5000 0.7773 1
Rb2 0.4287 0.0000 0.2765 1
H1 0.2996 0.0000 0.8925 1
H2 0.3947 0.5000 0.6626 1
```

---

2 | ## KRbH (GGA-PBE)

Data for KRbH after structural relaxation.

Calculated values
The magnetic moment comes out at 0.00 μB per atom.

Structure (CIF):
```
data_KRbH
_cell_length_a 4.5201
_cell_length_b 5.9353
_cell_length_c 9.5366
_cell_angle_alpha 90.00
_cell_angle_beta 98.17
_cell_angle_gamma 90.00
_space_group_name_H-M_alt 'P 1 m 1'
_space_group_IT_number 6
loop_
_space_group_symop_operation_xyz
'x,y,z'
'x,-y,z'
loop_
_atom_site_label
_atom_site_fract_x
_atom_site_fract_y
_atom_site_fract_z
_atom_site_occupancy
K1 0.0000 0.0000 0.0000 1
K2 0.1494 0.0000 0.5448 1
Rb1 0.5716 0.5000 0.2930 1
Rb2 0.6712 0.5000 0.7309 1
H1 0.1264 0.5000 0.5285 1
H2 0.7066 0.0000 0.7031 1
```

---

Energies, relative to the best one, in kJ/mol of atoms: 1 0.0; 2 1.1.

---

1 | ## KRbH (GGA-PBE)

Data for KRbH after structural relaxation.

Calculated values
The magnetic moment comes out at 0.00 μB per atom.

Structure (CIF):
```
data_KRbH
_cell_length_a 4.2927
_cell_length_b 4.2936
_cell_length_c 15.1877
_cell_angle_alpha 89.93
_cell_angle_beta 89.64
_cell_angle_gamma 60.04
_space_group_name_H-M_alt 'P 1'
_space_group_IT_number 1
loop_
_space_group_symop_operation_xyz
'x,y,z'
loop_
_atom_site_label
_atom_site_fract_x
_atom_site_fract_y
_atom_site_fract_z
_atom_site_occupancy
K1 0.0000 0.0000 0.0000 1
K2 0.0155 0.9948 0.5485 1
Rb1 0.3414 0.3309 0.7742 1
Rb2 0.6703 0.6605 0.2743 1
H1 0.6700 0.6660 0.8924 1
H2 0.6794 0.6625 0.6560 1
```

---

2 | ## KRbH (GGA-PBE)

Data for KRbH after structural relaxation.

Calculated values
The magnetic moment comes out at 0.00 μB per atom.

Structure (CIF):
```
data_KRbH
_cell_length_a 4.3263
_cell_length_b 4.3281
_cell_length_c 15.0586
_cell_angle_alpha 97.95
_cell_angle_beta 90.12
_cell_angle_gamma 119.95
_space_group_name_H-M_alt 'P 1'
_space_group_IT_number 1
loop_
_space_group_symop_operation_xyz
'x,y,z'
loop_
_atom_site_label
_atom_site_fract_x
_atom_site_fract_y
_atom_site_fract_z
_atom_site_occupancy
K1 0.0000 0.0000 0.0000 1
K2 0.4839 0.0020 0.5000 1
Rb1 0.2252 0.4795 0.7238 1
Rb2 0.7444 0.5249 0.2762 1
H1 0.1162 0.2677 0.3943 1
H2 0.8524 0.7368 0.6057 1
```

---

3 | ## KRbH (GGA-PBE)

Data for KRbH after structural relaxation.

Calculated values
The magnetic moment comes out at 0.33 μB per atom.

Structure (CIF):
```
data_KRbH
_cell_length_a 7.5202
_cell_length_b 7.5202
_cell_length_c 7.5202
_cell_angle_alpha 90.00
_cell_angle_beta 90.00
_cell_angle_gamma 90.00
_space_group_name_H-M_alt 'F -4 3 m'
_space_group_IT_number 216
_space_group_name_Hall 'F -4 2 3'
loop_
_atom_site_label
_atom_site_fract_x
_atom_site_fract_y
_atom_site_fract_z
_atom_site_occupancy
K1 0.0000 0.0000 0.0000 1
Rb1 0.0000 0.0000 0.5000 1
H1 0.2500 0.2500 0.2500 1
```

---

Energies, relative to the best one, in kJ/mol of atoms: 1 2.0; 2 0.0; 3 22.1.

---

1 | ## KRb2H (GGA-PBE)

Data for KRb2H after structural relaxation.

Calculated values
The magnetic moment comes out at 0.00 μB per atom.

Structure (CIF):
```
data_KRb2H
_cell_length_a 4.4798
_cell_length_b 4.4798
_cell_length_c 35.0702
_cell_angle_alpha 90.00
_cell_angle_beta 90.00
_cell_angle_gamma 120.00
_space_group_name_H-M_alt 'R 3 m'
_space_group_IT_number 160
_space_group_name_Hall 'R 3 -2"'
loop_
_atom_site_label
_atom_site_fract_x
_atom_site_fract_y
_atom_site_fract_z
_atom_site_occupancy
K1 0.0000 0.0000 0.0000 1
Rb1 0.0000 0.0000 0.2163 1
Rb2 0.0000 0.0000 0.4509 1
H1 0.0000 0.0000 0.8339 1
```

---

2 | ## KRb2H (GGA-PBE)

Data for KRb2H after structural relaxation.

Calculated values
The magnetic moment comes out at 0.00 μB per atom.

Structure (CIF):
```
data_KRb2H
_cell_length_a 8.9475
_cell_length_b 8.9475
_cell_length_c 12.3327
_cell_angle_alpha 90.00
_cell_angle_beta 90.00
_cell_angle_gamma 90.00
_space_group_name_H-M_alt 'I -4 2 d'
_space_group_IT_number 122
_space_group_name_Hall 'I -4 2bw'
loop_
_atom_site_label
_atom_site_fract_x
_atom_site_fract_y
_atom_site_fract_z
_atom_site_occupancy
K1 0.0000 0.0000 0.0000 1
Rb1 0.0538 0.2500 0.6250 1
H1 0.0000 0.0000 0.5000 1
```

---

3 | ## KRb2H (GGA-PBE)

Data for KRb2H after structural relaxation.

Calculated values
The magnetic moment comes out at 0.00 μB per atom.

Structure (CIF):
```
data_KRb2H
_cell_length_a 4.0408
_cell_length_b 4.0408
_cell_length_c 11.8041
_cell_angle_alpha 90.00
_cell_angle_beta 90.00
_cell_angle_gamma 90.00
_space_group_name_H-M_alt 'P 4/m m m'
_space_group_IT_number 123
_space_group_name_Hall '-P 4 2'
loop_
_atom_site_label
_atom_site_fract_x
_atom_site_fract_y
_atom_site_fract_z
_atom_site_occupancy
K1 0.0000 0.0000 0.0000 1
Rb1 0.5000 0.5000 0.3458 1
H1 0.0000 0.0000 0.5000 1
```

---

Energies, relative to the best one, in kJ/mol of atoms: 1 0.0; 2 2.3; 3 7.3.